Record 1
First-principles (PBE) data for a relaxed Pa2SiW crystal, as listed in the Alexandria database.

Computed properties:
Total DFT energy (no corrections), eV per atom: -9.44
Spin magnetization, Bohr magnetons per cell: 0.0
E_form (uncorrected), meV/atom: -100
Polymorph energy (0 for the lowest one), meV/atom: 0

a b c (Å): 4.3384 4.3384 4.2380
angles (deg): 90.00 90.00 90.00
Last column: nearest neighbours and their distance in Å.
Positions (direct):
Pa1 0.0000 0.5000 0.0000  4 W 3.03, 4 Si 3.03, 4 Pa 3.07
Pa2 0.5000 0.0000 0.0000  4 W 3.03, 4 Si 3.03, 4 Pa 3.07
Si1 0.0000 0.0000 0.5000  8 Pa 3.03, 4 W 3.07
W1 0.5000 0.5000 0.5000  8 Pa 3.03, 4 Si 3.07

***

Record 2
First-principles (PBE) data for a relaxed PaSi2W crystal, as listed in the Alexandria database.

Computed properties:
Total DFT energy (no corrections), eV per atom: -8.76
Spin magnetization, Bohr magnetons per cell: 0.0
E_form (uncorrected), meV/atom: -431

a b c (Å): 7.4676 3.8317 10.0376
angles (deg): 90.00 90.00 90.00
Last column: nearest neighbours and their distance in Å.
Positions (direct):
Pa1 0.1391 0.2500 0.1394  9 Si 2.94-3.27
Pa2 0.3609 0.7500 0.6394  9 Si 2.94-3.27
Pa3 0.6391 0.2500 0.3606  9 Si 2.94-3.27
Pa4 0.8609 0.7500 0.8606  9 Si 2.94-3.27
Si1 0.1562 0.2500 0.8140  2 Si 2.38, 2 W 2.49-2.61
Si2 0.2439 0.2500 0.4344  2 Si 2.38, 3 W 2.55-2.60
Si3 0.2561 0.7500 0.9344  2 Si 2.38, 3 W 2.55-2.60
Si4 0.3438 0.7500 0.3140  2 Si 2.38, 2 W 2.49-2.61
Si5 0.6562 0.2500 0.6860  2 Si 2.38, 2 W 2.49-2.61
Si6 0.7439 0.2500 0.0656  2 Si 2.38, 3 W 2.55-2.60
Si7 0.7561 0.7500 0.5656  2 Si 2.38, 3 W 2.55-2.60
Si8 0.8438 0.7500 0.1860  2 Si 2.38, 2 W 2.49-2.61
W1 0.0134 0.7500 0.3991  5 Si 2.49-2.61
W2 0.4866 0.2500 0.8991  5 Si 2.49-2.61
W3 0.5134 0.7500 0.1009  5 Si 2.49-2.61
W4 0.9866 0.2500 0.6009  5 Si 2.49-2.61

***

Record 3
First-principles (PBE) data for a relaxed Pa3Si8W3 crystal, as listed in the Alexandria database.

Computed properties:
Total DFT energy (no corrections), eV per atom: -8.15
Spin magnetization, Bohr magnetons per cell: 0.0
E_form (uncorrected), meV/atom: -237

a b c (Å): 8.3878 8.3878 8.3878
angles (deg): 150.95 120.48 67.58
Last column: nearest neighbours and their distance in Å.
Positions (direct):
Pa1 0.0000 0.0000 0.0000  12 Si 2.98-3.17, 4 W 3.33
Pa2 0.2834 0.2834 0.0000  12 Si 3.02-3.20
Pa3 0.7166 0.7166 0.0000  12 Si 3.02-3.20
Si1 0.0074 0.6476 0.3599  3 Si 2.33-2.44, 1 W 2.49
Si2 0.1551 0.8703 0.2848  2 Si 2.44, 1 W 2.55
Si3 0.2877 0.6476 0.6401  3 Si 2.33-2.44, 1 W 2.49
Si4 0.4145 0.1297 0.2848  2 Si 2.44, 1 W 2.55
Si5 0.5855 0.8703 0.7152  2 Si 2.44, 1 W 2.55
Si6 0.7123 0.3524 0.3599  3 Si 2.33-2.44, 1 W 2.49
Si7 0.8449 0.1297 0.7152  2 Si 2.44, 1 W 2.55
Si8 0.9926 0.3524 0.6401  3 Si 2.33-2.44, 1 W 2.49
W1 0.3096 0.5000 0.8096  6 Si 2.49-2.78, 2 W 2.63
W2 0.5000 0.0000 0.5000  4 Si 2.55, 4 W 2.63
W3 0.6904 0.5000 0.1904  6 Si 2.49-2.78, 2 W 2.63

***

Record 4
First-principles (PBE) data for a relaxed YPaSi crystal, as listed in the Alexandria database.

Computed properties:
Total DFT energy (no corrections), eV per atom: -7.62
Spin magnetization, Bohr magnetons per cell: 0.0
E_form (uncorrected), meV/atom: -494
Polymorph energy (0 for the lowest one), meV/atom: 0

a b c (Å): 4.1476 4.1476 8.3140
angles (deg): 90.00 90.00 90.00
Last column: nearest neighbours and their distance in Å.
Positions (direct):
Y1 0.2500 0.2500 0.1368  5 Si 3.04-3.06
Y2 0.7500 0.7500 0.8632  5 Si 3.04-3.06
Pa1 0.2500 0.7500 0.5000  4 Pa 2.93, 4 Si 3.04
Pa2 0.7500 0.2500 0.5000  4 Pa 2.93, 4 Si 3.04
Si1 0.2500 0.2500 0.7682  5 Y 3.04-3.06, 4 Pa 3.04
Si2 0.7500 0.7500 0.2318  5 Y 3.04-3.06, 4 Pa 3.04

***

Record 5
First-principles (PBE) data for a relaxed YPa2Si crystal, as listed in the Alexandria database.

Computed properties:
Total DFT energy (no corrections), eV per atom: -7.51
Spin magnetization, Bohr magnetons per cell: 0.0
E_form (uncorrected), meV/atom: 215

a b c (Å): 3.1862 3.1862 33.6274
angles (deg): 90.00 90.00 120.00
Last column: nearest neighbours and their distance in Å.
Positions (direct):
Y1 0.0000 0.0000 0.0000  6 Y 3.19, 2 Pa 3.26
Y2 0.3333 0.6667 0.6667  6 Y 3.19, 2 Pa 3.26
Y3 0.6667 0.3333 0.3333  6 Y 3.19, 2 Pa 3.26
Pa1 0.0000 0.0000 0.0969  3 Si 2.98, 6 Pa 3.19, 1 Y 3.26
Pa2 0.0000 0.0000 0.9031  3 Si 2.98, 6 Pa 3.19, 1 Y 3.26
Pa3 0.3333 0.6667 0.5697  3 Si 2.98, 6 Pa 3.19, 1 Y 3.26
Pa4 0.3333 0.6667 0.7636  3 Si 2.98, 6 Pa 3.19, 1 Y 3.26
Pa5 0.6667 0.3333 0.2364  3 Si 2.98, 6 Pa 3.19, 1 Y 3.26
Pa6 0.6667 0.3333 0.4303  3 Si 2.98, 6 Pa 3.19, 1 Y 3.26
Si1 0.0000 0.0000 0.5000  6 Pa 2.98, 6 Si 3.19
Si2 0.3333 0.6667 0.1667  6 Pa 2.98, 6 Si 3.19
Si3 0.6667 0.3333 0.8333  6 Pa 2.98, 6 Si 3.19

***

Record 6
First-principles (PBE) data for a relaxed Y2PaSi6 crystal, as listed in the Alexandria database.

Computed properties:
Total DFT energy (no corrections), eV per atom: -6.65
Spin magnetization, Bohr magnetons per cell: 0.0
E_form (uncorrected), meV/atom: -548

a b c (Å): 7.0505 7.0505 3.9569
angles (deg): 90.00 90.00 120.00
Last column: nearest neighbours and their distance in Å.
Positions (direct):
Y1 0.3333 0.6667 0.0000  12 Si 3.08
Y2 0.6667 0.3333 0.0000  12 Si 3.08
Pa1 0.0000 0.0000 0.0000  12 Si 3.06
Si1 0.0000 0.3320 0.5000  3 Si 2.34-2.37
Si2 0.0000 0.6680 0.5000  3 Si 2.34-2.37
Si3 0.3320 0.0000 0.5000  3 Si 2.34-2.37
Si4 0.3320 0.3320 0.5000  3 Si 2.34-2.37
Si5 0.6680 0.0000 0.5000  3 Si 2.34-2.37
Si6 0.6680 0.6680 0.5000  3 Si 2.34-2.37

***

Record 7
First-principles (PBE) data for a relaxed YPaSi crystal, as listed in the Alexandria database.

Computed properties:
Total DFT energy (no corrections), eV per atom: -7.05
Spin magnetization, Bohr magnetons per cell: 0.0
E_form (uncorrected), meV/atom: 73
Polymorph energy (0 for the lowest one), meV/atom: 567

a b c (Å): 4.8530 4.8530 3.5363
angles (deg): 90.00 90.00 120.00
Last column: nearest neighbours and their distance in Å.
Positions (direct):
Y1 0.0000 0.0000 0.0000  3 Si 2.93, 3 Pa 3.26
Pa1 0.3333 0.6667 0.4689  3 Si 2.98, 3 Y 3.26
Si1 0.6667 0.3333 0.7581  3 Y 2.93, 3 Pa 2.98

***

Record 8
First-principles (PBE) data for a relaxed YPaZnSi crystal, as listed in the Alexandria database.

Computed properties:
Total DFT energy (no corrections), eV per atom: -5.87
Spin magnetization, Bohr magnetons per cell: 3.3
E_form (uncorrected), meV/atom: -209

a b c (Å): 7.0407 7.0407 7.0407
angles (deg): 90.00 90.00 90.00
Last column: nearest neighbours and their distance in Å.
Positions (direct):
Y1 0.0000 0.0000 0.0000  4 Si 3.05, 4 Zn 3.05
Y2 0.0000 0.5000 0.5000  4 Si 3.05, 4 Zn 3.05
Y3 0.5000 0.0000 0.5000  4 Si 3.05, 4 Zn 3.05
Y4 0.5000 0.5000 0.0000  4 Si 3.05, 4 Zn 3.05
Pa1 0.0000 0.0000 0.5000  4 Zn 3.05, 4 Si 3.05
Pa2 0.0000 0.5000 0.0000  4 Zn 3.05, 4 Si 3.05
Pa3 0.5000 0.0000 0.0000  4 Zn 3.05, 4 Si 3.05
Pa4 0.5000 0.5000 0.5000  4 Zn 3.05, 4 Si 3.05
Zn1 0.2500 0.2500 0.2500  4 Pa 3.05, 4 Y 3.05
Zn2 0.2500 0.7500 0.7500  4 Pa 3.05, 4 Y 3.05
Zn3 0.7500 0.2500 0.7500  4 Pa 3.05, 4 Y 3.05
Zn4 0.7500 0.7500 0.2500  4 Pa 3.05, 4 Y 3.05
Si1 0.2500 0.2500 0.7500  4 Pa 3.05, 4 Y 3.05
Si2 0.2500 0.7500 0.2500  4 Pa 3.05, 4 Y 3.05
Si3 0.7500 0.2500 0.2500  4 Pa 3.05, 4 Y 3.05
Si4 0.7500 0.7500 0.7500  4 Pa 3.05, 4 Y 3.05